Record 1
Material: LaSi2Se
Method: DFT, PBE-GGA
State: relaxed

POSCAR file:
```
LaSi2Se
1.0
-4.5115 1.2110 3.4941
-0.7328 0.4543 5.7694
-1.3271 4.3516 3.6512
La Se Si
1 1 2
Direct
0.4980 0.4980 0.4980
0.7361 0.7361 0.7361
0.9662 0.9662 0.9662
0.2998 0.2998 0.2998
```

Output
The energy comes out at -5.20 eV/atom. For the raw formation energy, the calculation gives -0.382 eV per atom. As for the space group: No. 160.

***

Record 2
Material: LaSi2Se
Method: DFT, PBE-GGA
State: relaxed

POSCAR file:
```
LaSi2Se
1.0
3.8175 0.0659 0.0000
-0.0709 3.8174 0.0000
0.0000 0.0000 6.0313
La Se Si
1 1 2
Direct
0.5000 0.5000 0.2500
0.5000 0.5000 0.7500
0.0000 0.0000 0.9428
0.0000 0.0000 0.5572
```

Output
The energy comes out at -5.06 eV/atom. For the raw formation energy, the calculation gives -0.245 eV per atom. As for the space group: No. 123.

***

Record 3
Material: LaSi2Se
Method: DFT, PBE-GGA
State: relaxed

POSCAR file:
```
LaSi2Se
1.0
5.6313 -0.0108 0.0055
4.2155 3.7338 0.0055
1.2222 0.4621 4.3598
La Se Si
1 1 2
Direct
0.7500 0.7500 0.7500
0.2500 0.2500 0.2500
0.0151 0.0151 0.0945
0.4849 0.4849 0.4055
```

Output
The energy comes out at -5.37 eV/atom. For the raw formation energy, the calculation gives -0.553 eV per atom. As for the space group: No. 12.

***

Record 4
Material: LaSiSe
Method: DFT, PBE-GGA
State: relaxed

POSCAR file:
```
LaSiSe
1.0
5.5104 -0.0215 -0.0333
2.4374 4.9420 0.0333
-4.1006 -2.2556 2.9091
La Se Si
1 1 1
Direct
0.9937 0.9937 0.0000
0.3757 0.3757 0.0000
0.6305 0.6305 0.0000
```

Output
The energy above the most stable polymorph in this dataset comes out at 334 meV per atom. The energy comes out at -5.35 eV/atom. For the raw formation energy, the calculation gives -0.738 eV per atom. As for the space group: No. 44.

***

Record 5
Material: LaSiSe2
Method: DFT, PBE-GGA
State: relaxed

POSCAR file:
```
LaSiSe2
1.0
-4.9209 1.0055 1.9929
1.2691 -2.7086 4.5001
0.9762 6.1162 6.6501
Si Se La
2 4 2
Direct
0.5000 0.5000 0.0000
0.2500 0.7500 0.5000
0.5840 0.1250 0.2500
0.1660 0.6250 0.2500
0.3750 0.4160 0.7500
0.8750 0.8340 0.7500
0.0000 0.0000 0.0000
0.7500 0.2500 0.5000
```

Output
The energy comes out at -4.95 eV/atom. For the raw formation energy, the calculation gives -0.617 eV per atom. As for the space group: No. 122.

***

Record 6
Material: LaSiSe2
Method: DFT, PBE-GGA
State: relaxed

POSCAR file:
```
LaSiSe2
1.0
-2.9947 -4.9323 0.6705
1.1155 -5.5840 1.1492
-0.3623 0.7898 4.1860
La Se Si
1 2 1
Direct
0.7068 0.7068 0.8750
0.0016 0.0016 0.8753
0.2871 0.2871 0.3750
0.5045 0.5045 0.3747
```

Output
The energy comes out at -5.38 eV/atom. For the raw formation energy, the calculation gives -1.053 eV per atom. As for the space group: No. 38.

***

Look up the energy of the fifth one.
-4.95 eV/atom

***

Look up the energy of the third one.
-5.37 eV/atom

***

What is the raw formation energy in the fourth record?
-0.738 eV per atom